# Zr2Co2O5 GGA+U relaxed
# E above lowest polymorph (eV per atom): 0.000
# Volume (Å³/cell): 117.7
# Calculated density (g/cm³): 5.4
data_Zr2Co2O5
_cell_length_a 3.740
_cell_length_b 3.740
_cell_length_c 8.415
_cell_angle_alpha 90.00
_cell_angle_beta 90.00
_cell_angle_gamma 90.00
_symmetry_space_group_name_H-M 'P 4/m m m'
_symmetry_Int_Tables_number 123
_symmetry_space_group_name_Hall '-P 4 2'
loop_
_atom_site_label
_atom_site_fract_x
_atom_site_fract_y
_atom_site_fract_z
Zr1 0.000 0.000 0.246
Co1 0.500 0.500 0.000
Co2 0.500 0.500 0.500
O1 0.000 0.000 0.000
O2 0.000 0.500 0.345